# 1
Computed, not measured: crystalline Sr2AcGeO6 at its relaxed geometry at the GGA-PBE level of DFT.

Calculated values
total magnetic moment: 1.00 μB per formula unit

a b c (Å): 5.295 5.694 5.694
angles (deg): 90.00 90.00 90.00
Fractional positions:
Sr 0.016 0.500 0.000
Sr 0.016 0.000 0.500
Ac 0.563 0.500 0.500
Ge 0.603 0.000 0.000
O 0.718 0.221 0.221
O 0.718 0.221 0.779
O 0.113 0.500 0.500
O 0.265 0.000 0.000
O 0.718 0.779 0.779
O 0.718 0.779 0.221



# 2
Computed, not measured: crystalline SrAcGeO5 at its relaxed geometry at the GGA-PBE level of DFT.

Calculated values
total magnetic moment: 1.07 μB per formula unit

a b c (Å): 6.179 6.179 8.276
angles (deg): 100.12 100.12 108.88
Fractional positions:
Sr 0.352 0.648 0.250
Sr 0.648 0.352 0.750
Ac 0.000 0.000 0.500
Ac 0.000 0.000 0.000
Ge 0.681 0.319 0.250
Ge 0.319 0.681 0.750
O 0.106 0.894 0.250
O 0.894 0.106 0.750
O 0.927 0.345 0.159
O 0.073 0.655 0.841
O 0.655 0.073 0.341
O 0.345 0.927 0.659
O 0.717 0.575 0.408
O 0.283 0.425 0.592
O 0.425 0.283 0.092
O 0.575 0.717 0.908



# 3
Computed, not measured: crystalline AcTaGe2O8 at its relaxed geometry at the GGA-PBE level of DFT.

Calculated values
total magnetic moment: 0.00 μB per formula unit

a b c (Å): 5.970 5.970 5.970
angles (deg): 106.15 106.15 116.34
Fractional positions:
Ac 0.000 0.000 0.000
Ta 0.250 0.750 0.500
Ge 0.750 0.250 0.500
Ge 0.500 0.500 0.000
O 0.375 0.040 0.336
O 0.334 0.538 0.204
O 0.334 0.129 0.796
O 0.704 0.040 0.664
O 0.871 0.666 0.204
O 0.960 0.296 0.336
O 0.960 0.625 0.664
O 0.462 0.666 0.796



Number 1: formation energy (no corrections) -2.35 eV per atom. Number 2: formation energy (no corrections) -2.34 eV per atom. Number 3: formation energy (no corrections) -2.22 eV per atom.